# 1
Compound: Pa3As3N
Source: Alexandria
Functional: GGA-PBE
Structure: optimized geometry

Lattice parameters (Å, degrees): 9.5793 9.5793 5.8275 90.00 90.00 120.00
Closest atoms and distances in Å follow each position.
Space group R3m (No. 160, hexagonal axes)
Asymmetric unit:
Pa  0.2023  0.4046  0.0000 [9 per cell]  1 N 2.17
As  0.1994  0.3988  0.4954 [9 per cell]  6 Pa 2.89-3.12
N  0.0000  0.0000  0.3310 [3 per cell]  3 Pa 2.17

Summary:
As for the raw formation energy: -6.3 eV per formula unit.

# 2
Compound: AcTeH
Source: Alexandria
Functional: GGA-PBE
Structure: optimized geometry

Lattice parameters (Å, degrees): 7.3645 7.3645 7.3645 90.00 90.00 90.00
Closest atoms and distances in Å follow each position.
Space group F-43m (No. 216)
Asymmetric unit:
Ac  0.0000  0.0000  0.0000 [4 per cell]  4 H 3.19, 4 Te 3.19
Te  0.2500  0.2500  0.7500 [4 per cell]  4 Ac 3.19
H  0.2500  0.2500  0.2500 [4 per cell]  4 Ac 3.19

Summary:
The distance to the lowest polymorph of the same formula comes out at 0.465 eV per atom.

# 3
Compound: NdPd4Au2
Source: Alexandria
Functional: GGA-PBE
Structure: optimized geometry

Lattice parameters (Å, degrees): 8.2598 8.2598 5.2390 90.00 90.00 90.00
Closest atoms and distances in Å follow each position.
Space group I4/mmm (No. 139)
Asymmetric unit:
Nd  0.0000  0.0000  0.0000 [2 per cell]  8 Pd 3.18
Pd  0.0000  0.2181  0.5000 [8 per cell]  2 Pd 2.55, 2 Au 2.67
Au  0.0000  0.5000  0.2500 [4 per cell]  2 Au 2.62, 4 Pd 2.67

Summary:
The distance to the lowest polymorph of the same formula comes out at 0.627 eV per atom. For the formation energy, the calculation gives 0.1515 eV per atom.

# 4
Compound: LiPtRh2
Source: Alexandria
Functional: GGA-PBE
Structure: optimized geometry

Lattice parameters (Å, degrees): 2.7173 3.8469 5.3785 90.00 90.00 90.00
Closest atoms and distances in Å follow each position.
Space group Pmm2 (No. 25)
Asymmetric unit:
Li  0.0000  0.0000  0.0000 [1 per cell]  6 Rh 2.65-2.75, 4 Pt 2.66, 2 Li 2.72
Pt  0.5000  0.5000  0.2292 [1 per cell]  6 Rh 2.65-2.79, 4 Li 2.66, 2 Pt 2.72
Rh  0.0000  0.0000  0.5075 [1 per cell]  2 Li 2.65-2.73, 6 Rh 2.66-2.72, 4 Pt 2.79
Rh  0.5000  0.5000  0.7370 [1 per cell]  2 Pt 2.65-2.73, 6 Rh 2.66-2.72, 4 Li 2.75

Summary:
The distance to the lowest polymorph of the same formula comes out at 0.096 eV per atom. For the formation energy, the calculation gives -0.1637 eV per atom.

# 5
Compound: YSi2Sb
Source: Alexandria
Functional: GGA-PBE
Structure: optimized geometry

Lattice parameters (Å, degrees): 4.1290 4.1290 10.0172 90.00 90.00 90.00
Closest atoms and distances in Å follow each position.
Space group I-4m2 (No. 119)
Asymmetric unit:
Y  0.0000  0.0000  0.0000 [2 per cell]  8 Si 2.92-3.25, 4 Sb 3.25
Si  0.0000  0.0000  0.5000 [2 per cell]  4 Y 2.92, 4 Sb 3.25, 4 Si 3.25
Si  0.0000  0.5000  0.2500 [2 per cell]  4 Sb 2.92, 4 Si 3.25, 4 Y 3.25
Sb  0.0000  0.5000  0.7500 [2 per cell]  8 Si 2.92-3.25, 4 Y 3.25

Summary:
As for the raw formation energy: -0.6 eV per formula unit.

# 6
Compound: ZrAl
Source: Alexandria
Functional: GGA-PBE
Structure: optimized geometry

Lattice parameters (Å, degrees): 5.5712 5.5712 5.5712 90.00 90.00 90.00
Closest atoms and distances in Å follow each position.
Space group Fm-3m (No. 225)
Asymmetric unit:
Zr  0.0000  0.0000  0.0000 [4 per cell]  6 Al 2.79
Al  0.0000  0.0000  0.5000 [4 per cell]  6 Zr 2.79

Summary:
For the formation energy, the calculation gives 0.0212 eV per atom.

# 7
Compound: ZrPbNF2
Source: Alexandria
Functional: GGA-PBE
Structure: optimized geometry

Lattice parameters (Å, degrees): 4.5181 4.5181 4.4755 90.00 90.00 90.00
Closest atoms and distances in Å follow each position.
Space group P4/mmm (No. 123)
Asymmetric unit:
Zr  0.0000  0.0000  0.0000 [1 per cell]  8 F 3.18, 4 N 3.19
Pb  0.5000  0.5000  0.5000 [1 per cell]  2 N 2.24, 4 F 2.26
N  0.5000  0.5000  0.0000 [1 per cell]  2 Pb 2.24
F  0.0000  0.5000  0.5000 [2 per cell]  2 Pb 2.26

Summary:
The distance to the lowest polymorph of the same formula comes out at 1.386 eV per atom. As for the raw formation energy: -1.3 eV per formula unit.

# 8
Compound: LiNd4Zn
Source: Alexandria
Functional: GGA-PBE
Structure: optimized geometry

Lattice parameters (Å, degrees): 4.9894 4.9894 7.8744 90.00 90.00 90.00
Closest atoms and distances in Å follow each position.
Space group P4/mmm (No. 123)
Asymmetric unit:
Li  0.0000  0.0000  0.0000 [1 per cell]  8 Nd 3.28
Nd  0.0000  0.5000  0.2697 [4 per cell]  2 Zn 3.08, 2 Li 3.28
Zn  0.5000  0.5000  0.5000 [1 per cell]  8 Nd 3.08

Summary:
For the formation energy, the calculation gives 0.2326 eV per atom.

Number 1: calculated total energy -8.15 eV per atom, D(E_F) 8.16 states/eV/f.u.. Number 2: calculated total energy -4.33 eV per atom, D(E_F) 0.00 states/eV/f.u.. Number 3: calculated total energy -4.43 eV per atom, D(E_F) 6.28 states/eV/f.u.. Number 4: calculated total energy -5.83 eV per atom, D(E_F) 4.31 states/eV/f.u.. Number 5: calculated total energy -5.52 eV per atom, D(E_F) 1.60 states/eV/f.u.. Number 6: calculated total energy -6.12 eV per atom, D(E_F) 2.31 states/eV/f.u.. Number 7: calculated total energy -5.13 eV per atom, D(E_F) 5.02 states/eV/f.u.. Number 8: calculated total energy -3.48 eV per atom, D(E_F) 10.37 states/eV/f.u..